Entry from Alexandria via LeMat-Bulk: a geometry-optimized CaAgP2 structure (PBE-GGA).

a = 4.3837 Å, b = 4.3837 Å, c = 3.8953 Å
α = 90.00°, β = 90.00°, γ = 90.00°
Positions (direct):
1 Ca 0.0000 0.0000 0.0000
2 Ag 0.5000 0.5000 0.0000
3 P 0.0000 0.5000 0.5000
4 P 0.5000 0.0000 0.5000

Results
The space group is P4/mmm (123). For the formation energy from the elements, the calculation gives -0.192 eV per atom. The crystal system is tetragonal.